# 1
Computed, not measured: a relaxed Ce2Sn2S7 crystal at the PBE-GGA level of DFT.

Cell lengths 4.0213, 8.9414, 8.9414 Å; angles 57.11, 77.00, 77.00 degrees
With the nearest neighbours (Å) after each atom.
Atoms (fractional coordinates):
1 S 0.4050 0.7254 0.4647  3 Ce 2.83-2.91, 1 S 2.89, 2 Sn 3.00
2 S 0.1204 0.1781 0.5812  1 Sn 2.58, 2 Ce 2.75
3 S 0.1894 0.6939 0.9274  2 Sn 2.66, 1 Ce 2.94
4 S 0.8106 0.0726 0.3061  2 Sn 2.66, 1 Ce 2.94
5 S 0.5000 0.0180 0.9820  3 Ce 2.69-2.80
6 S 0.5950 0.5353 0.2746  3 Ce 2.83-2.91, 1 S 2.89, 2 Sn 3.00
7 S 0.8796 0.4188 0.8219  1 Sn 2.58, 2 Ce 2.75
8 Sn 0.7697 0.7589 0.7017  3 S 2.58-2.66
9 Sn 0.2303 0.2983 0.2411  3 S 2.58-2.66
10 Ce 0.5000 0.3454 0.6546  7 S 2.75-2.83
11 Ce 0.0000 0.8092 0.1908  8 S 2.69-2.94

Results
For the total magnetic moment, the calculation gives 0.0 μB per formula unit. The value obtained for the formation energy from raw total energies is -1005 meV/atom.

***

# 2
Computed, not measured: a relaxed KBeP2 crystal at the PBE-GGA level of DFT.

Cell lengths 2.8924, 2.8924, 8.1669 Å; angles 90.00, 90.00, 90.00 degrees
With the nearest neighbours (Å) after each atom.
Atoms (fractional coordinates):
1 Be 0.5000 0.5000 0.2500  8 P 2.53
2 K 0.5000 0.5000 0.7500  4 K 2.89
3 P 0.0000 0.0000 0.4329  4 Be 2.53
4 P 0.0000 0.0000 0.0671  4 Be 2.53

Results
For the total magnetic moment, the calculation gives 0.0 μB per formula unit. As for the formation energy: 0.36 eV per atom.

***

# 3
Computed, not measured: a relaxed CoNi2Os crystal at the PBE-GGA level of DFT.

Cell lengths 2.6028, 2.6028, 6.9658 Å; angles 90.00, 90.00, 90.00 degrees
With the nearest neighbours (Å) after each atom.
Atoms (fractional coordinates):
1 Os 0.0000 0.0000 0.5036  4 Co 2.55, 4 Ni 2.59, 4 Os 2.60
2 Co 0.5000 0.5000 0.7565  4 Ni 2.49, 4 Os 2.55, 4 Co 2.60
3 Ni 0.5000 0.5000 0.2426  8 Ni 2.51-2.60, 4 Os 2.59
4 Ni 0.0000 0.0000 0.9973  4 Co 2.49, 8 Ni 2.51-2.60

Results
For the total magnetic moment, the calculation gives 1.4 μB per formula unit. As for the formation energy: 0.12 eV per atom.

***

# 4
Computed, not measured: a relaxed LaGeSb2 crystal at the PBE-GGA level of DFT.

Cell lengths 4.7340, 4.7084, 4.7084 Å; angles 90.00, 90.00, 90.00 degrees
With the nearest neighbours (Å) after each atom.
Atoms (fractional coordinates):
1 Ge 0.5000 0.0000 0.0000  4 La 3.33, 8 Sb 3.34
2 Sb 0.0000 0.5000 0.0000  4 Sb 3.33, 4 La 3.34, 4 Ge 3.34
3 Sb 0.0000 0.0000 0.5000  4 Sb 3.33, 4 Ge 3.34, 4 La 3.34
4 La 0.5000 0.5000 0.5000  4 Ge 3.33, 8 Sb 3.34

Results
For the total magnetic moment, the calculation gives 0.0 μB per formula unit. The value obtained for the formation energy from raw total energies is -547 meV/atom.